This record from Alexandria describes YCu2Rh at its PBEsol-relaxed geometry. The functional is meta-GGA SCAN.

For the distance to the lowest polymorph of the same formula, the calculation gives 0 meV/atom. The total DFT energy (no corrections) comes out at -23.37 eV per atom. Its magnetization is 0.00 μB per atom. The value obtained for the formation energy is -1.5 eV/f.u.

It has space group I4/mmm (No. 139), with a = 3.831 Å, b = 3.831 Å, c = 8.275 Å, α = 90.00°, β = 90.00° and γ = 90.00°. The inequivalent atoms are Y at (0.000, 0.000, 0.000), Cu at (0.000, 0.500, 0.250) and Rh at (0.000, 0.000, 0.500).

=====

This record from Alexandria describes Zn2CuRh at its PBEsol-relaxed geometry. The functional is meta-GGA SCAN.

The total DFT energy (no corrections) comes out at -19.25 eV per atom. Its magnetization is 0.00 μB per atom. The value obtained for the formation energy is -1.0 eV/f.u.

It has space group Cm (No. 8), with a = 9.197 Å, b = 2.873 Å, c = 4.230 Å, α = 90.00°, β = 112.44° and γ = 90.00°. The inequivalent atoms are Zn at (0.000, 0.000, 0.000), Zn at (0.248, 0.000, 0.648), Cu at (0.004, 0.500, 0.503) and Rh at (0.249, 0.500, 0.150).

=====

This record from Alexandria describes Zn2CuRh at its PBEsol-relaxed geometry. The functional is meta-GGA SCAN.

The total DFT energy (no corrections) comes out at -19.24 eV per atom. Its magnetization is 0.00 μB per atom. The value obtained for the formation energy is -1.0 eV/f.u.

It has space group I-4m2 (No. 119), with a = 3.682 Å, b = 3.682 Å, c = 7.579 Å, α = 90.00°, β = 90.00° and γ = 90.00°. The inequivalent atoms are Zn at (0.000, 0.000, 0.000), Zn at (0.000, 0.500, 0.250), Cu at (0.000, 0.000, 0.500) and Rh at (0.000, 0.500, 0.750).

=====

This record from Alexandria describes Zn2CuRh at its PBEsol-relaxed geometry. The functional is meta-GGA SCAN.

The total DFT energy (no corrections) comes out at -19.28 eV per atom. Its magnetization is 0.00 μB per atom. The value obtained for the formation energy is -1.1 eV/f.u.

It has space group P4/mmm (No. 123), with a = 3.003 Å, b = 3.003 Å, c = 5.661 Å, α = 90.00°, β = 90.00° and γ = 90.00°. The inequivalent atoms are Zn at (0.000, 0.000, 0.246), Cu at (0.500, 0.500, 0.000) and Rh at (0.500, 0.500, 0.500).